Entry 1:
First-principles (GGA-PBE) data for a geometry-optimized Pm2DyEr structure, as listed in the Alexandria database.

The structure in extended XYZ format:
```
8
Lattice="5.0156 0.0000 -0.4710 0.0000 7.1890 0.0000 0.6708 0.0000 7.1556" Properties=species:S:1:pos:R:3 pbc="T T T"
Er 0.3357 5.3917 3.5787
Pm 2.6758 7.1888 1.5559
Pm 3.0106 3.5943 5.1287
Pm 3.0106 0.0001 5.1287
Pm 2.6758 3.5946 1.5559
Dy 0.0005 5.3917 0.0011
Er 5.3506 1.7972 3.1059
Dy 5.6858 1.7972 6.6835
```

Results
As for the space group: No. 47. Its formation energy from the elements is 15.8 meV/atom. For the raw total energy, the calculation gives -37.2 eV per cell. As for the energy above the lowest structure with this stoichiometry: 2 meV/atom. The calculation puts the magnetization at 0.0 μB per formula unit.


Entry 2:
First-principles (GGA-PBE) data for a geometry-optimized SiWBr structure, as listed in the Alexandria database.

The structure in extended XYZ format:
```
3
Lattice="4.5039 0.0000 0.0000 -2.2520 3.9005 0.0000 0.0000 0.0000 2.8982" Properties=species:S:1:pos:R:3 pbc="T T T"
Br 0.0000 0.0000 2.4158
Si 0.0000 2.6004 0.9646
W 2.2520 1.3002 2.4161
```

Results
As for the space group: No. 187. For the raw total energy, the calculation gives -17.4 eV per cell. The calculation puts the formation energy (no corrections) at 0.88 eV/atom. As for the energy above the lowest structure with this stoichiometry: 342 meV/atom. The calculation puts the magnetization at 0.0 μB per formula unit.


Entry 3:
First-principles (GGA-PBE) data for a geometry-optimized Na2GeHPd6 structure, as listed in the Alexandria database.

The structure in extended XYZ format:
```
10
Lattice="-5.9083 1.6865 0.5561 -1.3148 -2.7738 -5.3531 -4.7182 -4.2775 -0.4401" Properties=species:S:1:pos:R:3 pbc="T T T"
Pd -9.3799 -3.8017 -1.4884
Pd -2.5614 -1.5631 -3.7486
Pd -7.9056 -3.1233 -3.7906
Na -4.8837 -3.7371 -4.0167
Pd -1.9795 -0.3810 -1.2523
Pd -9.9618 -4.9838 -3.9848
Na -7.0576 -1.6277 -1.2204
Pd -4.0358 -2.2414 -1.4464
H -3.6116 -0.5436 -2.3985
Ge 0.0000 0.0000 0.0000
```

Results
As for the space group: No. 12. For the raw total energy, the calculation gives -44.1 eV per cell. The calculation puts the magnetization at 0.0 μB per formula unit.


Entry 4:
First-principles (GGA-PBE) data for a geometry-optimized Rb3PbCl6 structure, as listed in the Alexandria database.

The structure in extended XYZ format:
```
20
Lattice="7.8514 0.0000 0.0126 0.0000 8.3241 0.0000 0.1171 0.0000 11.2158" Properties=species:S:1:pos:R:3 pbc="T T T"
Cl 1.7729 2.6701 4.9913
Rb 0.2363 4.7511 2.8557
Rb 3.7480 0.5891 2.7585
Cl 6.1956 5.6539 6.2371
Rb 0.0586 0.0000 5.6079
Rb 3.9257 4.1620 0.0063
Cl 2.2114 6.8321 0.6229
Cl 4.9397 3.7002 3.0816
Cl 5.7571 1.4919 10.6054
Rb 4.2205 7.7350 8.4699
Cl 6.8960 7.8623 2.5452
Pb 3.9842 4.1620 5.6142
Cl 1.0725 0.4618 8.6832
Cl 6.6340 6.0562 10.3898
Pb 0.0000 0.0000 0.0000
Cl 3.0288 4.6238 8.1468
Cl 1.3345 2.2678 0.8386
Cl 5.3188 1.8942 6.4528
Rb 7.7322 3.5730 8.3727
Cl 2.6497 6.4298 4.7756
```

Results
As for the space group: No. 14. For the raw total energy, the calculation gives -65.8 eV per cell. The calculation puts the formation energy (no corrections) at -1.52 eV/atom. As for the energy above the lowest structure with this stoichiometry: 0 meV/atom. The calculation puts the magnetization at 0.4 μB per formula unit.